The following is a DFT calculation (PBE-GGA) of a relaxed CeBeGa2Pt4 crystal.

Calculated values
Crystal system: trigonal
Energy relative to the elements, eV per atom: -0.831
Calculated total energy, eV per cell: -46.5
Total magnetization, μB/cell: 0.260

Unit cell a=4.273 b=4.273 c=8.801 alpha=75.95 beta=75.95 gamma=60.00
Site moments in Bohr magnetons follow the coordinates.
Atoms (fractional coordinates):
Be: 0.500 0.500 0.500  0.00
Ga: 0.758 0.758 0.727  0.00
Pt: 0.863 0.863 0.412  -0.01
Pt: 0.405 0.405 0.784  -0.01
Ce: 0.000 0.000 0.000  0.29
Pt: 0.595 0.595 0.216  -0.01
Pt: 0.137 0.137 0.588  -0.01
Ga: 0.242 0.242 0.273  0.00